## Na2TbNiF8 (PBE with a Hubbard U)

Data for a relaxed Na2TbNiF8 crystal.

Cell lengths 4.7292, 6.7394, 5.3145 Å; angles 90.00, 91.41, 90.00 degrees
Space group P2/m (No. 10)
One atom of each set of equivalent atoms:
Na: 0.0000 0.2348 0.0000 (multiplicity 2)
Tb: 0.5000 0.5000 0.5000 (multiplicity 1)
Ni: 0.5000 0.0000 0.5000 (multiplicity 1)
F: 0.1605 0.5000 0.2242 (multiplicity 2)
F: 0.2136 0.0000 0.2576 (multiplicity 2)
F: 0.3294 0.2242 0.6850 (multiplicity 4)

density: 4.08 Mg/m³
E: -4.916 eV per atom